Below is a relaxed Tb2Pr12Sm5 crystal, with properties calculated at the PBE-GGA level.

Values from the calculation:
Polymorph energy (0 for the lowest one): 0.0419 eV/atom
DFT total energy: -87.13 eV per cell
Spin magnetization: 0.0000 μB/atom
Formation enthalpy at 0 K: 0.162 eV/atom

Cell lengths 10.3743, 10.3743, 10.2294 Å; angles 113.35, 113.35, 42.79 degrees
Closest atoms and distances in Å follow each position.
Fractional coordinates of all 19 atoms:
Tb 0.2021 0.7979 0.0000  1 Tb 3.06, 2 Pr 3.11
Tb 0.7979 0.2021 0.0000  1 Tb 3.06, 2 Pr 3.11
Pr 0.0071 0.0071 0.3268  5 Pr 3.43-3.67, 2 Tb 3.63
Pr 0.0903 0.5895 0.1478  6 Pr 3.50-3.79, 4 Sm 3.68-3.91
Pr 0.0921 0.5760 0.4975  4 Pr 3.27-3.66
Pr 0.4105 0.9097 0.8522  6 Pr 3.50-3.79, 4 Sm 3.68-3.91
Pr 0.4240 0.9079 0.5025  4 Pr 3.27-3.66
Pr 0.4906 0.4906 0.7830  1 Sm 2.98, 2 Tb 3.11
Pr 0.5094 0.5094 0.2170  1 Sm 2.98, 2 Tb 3.11
Pr 0.5760 0.0921 0.4975  4 Pr 3.27-3.66
Pr 0.5895 0.0903 0.1478  6 Pr 3.50-3.79, 4 Sm 3.68-3.91
Pr 0.9079 0.4240 0.5025  4 Pr 3.27-3.66
Pr 0.9097 0.4105 0.8522  6 Pr 3.50-3.79, 4 Sm 3.68-3.91
Pr 0.9929 0.9929 0.6732  5 Pr 3.43-3.67, 2 Tb 3.63
Sm 0.1776 0.1776 0.1990  2 Tb 3.51, 8 Pr 3.74-3.91, 2 Sm 3.79
Sm 0.3234 0.3234 0.8274  5 Pr 3.45-3.78, 2 Sm 3.79, 2 Tb 3.84
Sm 0.5000 0.5000 0.5000  2 Pr 2.98
Sm 0.6766 0.6766 0.1726  5 Pr 3.45-3.78, 2 Sm 3.79, 2 Tb 3.84
Sm 0.8224 0.8224 0.8010  2 Tb 3.51, 8 Pr 3.74-3.91, 2 Sm 3.79

Below is a relaxed Tb3Pr3Sm2 crystal, with properties calculated at the PBE-GGA level.

Values from the calculation:
DFT total energy: -37.55 eV per cell
Spin magnetization: 0.0000 μB/atom
Formation enthalpy at 0 K: 0.015 eV/atom

Cell lengths 6.2781, 6.3102, 8.1304 Å; angles 104.91, 104.80, 109.58 degrees
Closest atoms and distances in Å follow each position.
Fractional coordinates of all 8 atoms:
Tb 0.0000 0.0000 0.0000  6 Pr 3.63, 2 Sm 3.63, 4 Tb 3.64
Tb 0.1245 0.6245 0.2487  3 Tb 3.62-3.64, 5 Pr 3.62-3.64, 4 Sm 3.64
Tb 0.8755 0.3755 0.7513  3 Tb 3.62-3.64, 5 Pr 3.62-3.64, 4 Sm 3.64
Pr 0.3744 0.8746 0.7491  4 Sm 3.62-3.65, 5 Tb 3.63-3.64, 3 Pr 3.64-3.65
Pr 0.5000 0.5000 0.0000  6 Tb 3.62-3.63, 4 Pr 3.64-3.65, 2 Sm 3.65
Pr 0.6256 0.1254 0.2509  4 Sm 3.62-3.65, 5 Tb 3.63-3.64, 3 Pr 3.64-3.65
Sm 0.2492 0.2495 0.4987  5 Pr 3.62-3.65, 2 Sm 3.63, 5 Tb 3.63-3.64
Sm 0.7508 0.7505 0.5013  5 Pr 3.62-3.65, 2 Sm 3.63, 5 Tb 3.63-3.64

Which formula does entry 2 have?
Tb3Pr3Sm2

What is the formation enthalpy at 0 K in the second record?
0.015 eV/atom

What is the formation enthalpy at 0 K in the second record?
0.015 eV/atom

Which formula does entry 1 have?
Tb2Pr12Sm5